VASP calculation (PBE-GGA) on a relaxed La3Sm2PuN6 crystal.

Values from the calculation:
Its space group is C2/m, No. 12. As for the uncorrected formation energy: -1.35 eV/atom. The calculation puts the calculated total energy at -104.8 eV/cell.

Cell: 6.269 6.269 6.330 Å, 99.55 99.55 119.88°
Element x y z (fractional)
La1 0.000 0.000 0.000
La2 0.334 0.666 0.000
La3 0.666 0.334 0.000
Sm1 0.166 0.834 0.500
Sm2 0.834 0.166 0.500
Pu1 0.500 0.500 0.500
N1 0.113 0.425 0.273
N2 0.262 0.262 0.735
N3 0.425 0.113 0.273
N4 0.575 0.887 0.727
N5 0.738 0.738 0.265
N6 0.887 0.575 0.727